{"formula": "Sc2TlF", "functional": "PBE", "state": "optimized geometry", "spacegroup": "Fm-3m", "crystal_system": "cubic", "e_above_lowest_polymorph_ev_per_atom": 0.183, "lattice": [[0.000, 3.444, 3.444], [3.444, 0.000, 3.444], [3.444, 3.444, 0.000]], "species": ["Sc", "Sc", "Tl", "F"], "frac_coords": [[0.250, 0.250, 0.250], [0.750, 0.750, 0.750], [0.500, 0.500, 0.500], [0.000, 0.000, 0.000]]}


{"formula": "ScTl2F5", "functional": "PBE", "state": "optimized geometry", "spacegroup": "C2/c", "crystal_system": "monoclinic", "lattice": [[6.457, 0.000, 0.000], [-3.228, 6.443, -3.366], [0.000, -1.181, 7.951]], "species": ["Sc", "Sc", "Tl", "Tl", "Tl", "Tl", "F", "F", "F", "F", "F", "F", "F", "F", "F", "F"], "frac_coords": [[0.000, 0.000, 0.000], [0.000, 0.000, 0.500], [0.678, 0.324, 0.333], [0.354, 0.676, 0.167], [0.646, 0.324, 0.833], [0.322, 0.676, 0.667], [0.064, 0.327, 0.198], [0.764, 0.102, 0.488], [0.338, 0.102, 0.988], [0.738, 0.673, 0.302], [0.262, 0.327, 0.698], [0.092, 0.000, 0.250], [0.662, 0.898, 0.012], [0.236, 0.898, 0.512], [0.936, 0.673, 0.802], [0.908, 0.000, 0.750]]}


{"formula": "ScTl4F7", "functional": "PBE", "state": "optimized geometry", "spacegroup": "C2/m", "crystal_system": "monoclinic", "lattice": [[4.023, 0.000, 1.062], [2.002, 6.646, 0.565], [-0.451, -1.432, 9.860]], "species": ["Sc", "Tl", "Tl", "Tl", "Tl", "F", "F", "F", "F", "F", "F", "F"], "frac_coords": [[0.000, 0.000, 0.000], [0.613, 0.578, 0.195], [0.387, 0.422, 0.805], [0.803, 0.799, 0.594], [0.197, 0.201, 0.406], [0.892, 0.281, 0.936], [0.108, 0.719, 0.064], [0.167, 0.864, 0.802], [0.833, 0.136, 0.198], [0.371, 0.836, 0.422], [0.500, 0.000, 0.000], [0.629, 0.164, 0.578]]}


{"formula": "ScTlF2", "functional": "PBE", "state": "optimized geometry", "spacegroup": "I-42d", "crystal_system": "tetragonal", "e_above_lowest_polymorph_ev_per_atom": 0.043, "lattice": [[5.503, 0.000, 0.000], [0.000, 5.503, 0.000], [2.751, 2.751, 5.868]], "species": ["Sc", "Sc", "Tl", "Tl", "F", "F", "F", "F"], "frac_coords": [[0.500, 0.500, 0.000], [0.250, 0.750, 0.500], [0.000, 0.000, 0.000], [0.750, 0.250, 0.500], [0.377, 0.125, 0.250], [0.373, 0.625, 0.250], [0.375, 0.623, 0.750], [0.875, 0.627, 0.750]]}


For each record above, in turn, the calculated energy relative to the elements, uncorrected values are -0.830, -2.909, -2.515, -2.256 eV per atom.